First-principles (PBE-GGA) data for a geometry-optimized ZnTcRu2 structure, as listed in Alexandria.

Calculated values
space group	Pmmm, No. 47
uncorrected energy	-7.24	eV/atom
volume	14.27	Å³ per atom
theoretical density	10635	kg/m³

a b c (Å): 2.8012 4.5610 4.4676
angles (deg): 90.00 90.00 90.00
Closest atoms and distances in Å follow each position.
Fractional coordinates of all 4 atoms:
1 Ru 0.0000 0.0000 0.0000  4 Tc 2.64, 6 Ru 2.68-2.80
2 Ru 0.5000 0.5000 0.0000  4 Zn 2.64, 6 Ru 2.68-2.80
3 Tc 0.5000 0.0000 0.5000  4 Ru 2.64, 4 Zn 2.68, 2 Tc 2.80
4 Zn 0.0000 0.5000 0.5000  4 Ru 2.64, 4 Tc 2.68, 2 Zn 2.80

=====

First-principles (PBE-GGA) data for a geometry-optimized ZnTc2Ru structure, as listed in Alexandria.

Calculated values
space group	R-3m, No. 166
uncorrected energy	-7.73	eV/atom
volume	14.42	Å³ per atom
theoretical density	10434	kg/m³

a b c (Å): 8.9595 8.9595 8.9595
angles (deg): 17.65 17.65 17.65
Closest atoms and distances in Å follow each position.
Fractional coordinates of all 4 atoms:
1 Ru 0.7500 0.7500 0.7500  6 Tc 2.67, 6 Ru 2.75
2 Tc 0.0022 0.0022 0.0022  3 Ru 2.67, 6 Tc 2.75, 3 Zn 2.76
3 Tc 0.4978 0.4978 0.4978  3 Ru 2.67, 6 Tc 2.75, 3 Zn 2.76
4 Zn 0.2500 0.2500 0.2500  6 Zn 2.75, 6 Tc 2.76

=====

First-principles (PBE-GGA) data for a geometry-optimized ZnTc2Ru2 structure, as listed in Alexandria.

Calculated values
space group	P4/mbm, No. 127
uncorrected energy	-7.89	eV/atom
volume	15.44	Å³ per atom
theoretical density	9970	kg/m³

a b c (Å): 7.5058 7.5058 2.7408
angles (deg): 90.00 90.00 90.00
Closest atoms and distances in Å follow each position.
Fractional coordinates of all 10 atoms:
1 Ru 0.1673 0.6673 0.5000  6 Tc 2.59-2.62, 2 Ru 2.74
2 Ru 0.6673 0.8327 0.5000  6 Tc 2.59-2.62, 2 Ru 2.74
3 Ru 0.8327 0.3327 0.5000  6 Tc 2.59-2.62, 2 Ru 2.74
4 Ru 0.3327 0.1673 0.5000  6 Tc 2.59-2.62, 2 Ru 2.74
5 Zn 0.0000 0.0000 0.0000  2 Zn 2.74, 4 Tc 2.98
6 Zn 0.5000 0.5000 0.0000  2 Zn 2.74, 4 Tc 2.98
7 Tc 0.3773 0.8773 0.0000  6 Ru 2.59-2.62, 3 Tc 2.60-2.74
8 Tc 0.8773 0.6227 0.0000  6 Ru 2.59-2.62, 3 Tc 2.60-2.74
9 Tc 0.6227 0.1227 0.0000  6 Ru 2.59-2.62, 3 Tc 2.60-2.74
10 Tc 0.1227 0.3773 0.0000  6 Ru 2.59-2.62, 3 Tc 2.60-2.74

=====

First-principles (PBE-GGA) data for a geometry-optimized ZnTcRu2 structure, as listed in Alexandria.

Calculated values
space group	Cm, No. 8
uncorrected energy	-7.54	eV/atom
volume	14.20	Å³ per atom
theoretical density	10687	kg/m³

a b c (Å): 2.7482 2.7482 8.8228
angles (deg): 81.14 81.14 60.02
Closest atoms and distances in Å follow each position.
Fractional coordinates of all 4 atoms:
1 Zn 0.5000 0.5000 0.4998  6 Ru 2.71-2.72, 6 Zn 2.75
2 Tc 0.6665 0.6665 0.0007  6 Ru 2.65-2.67, 6 Tc 2.75
3 Ru 0.0820 0.0820 0.7535  3 Tc 2.67, 3 Zn 2.71-2.72, 6 Ru 2.75
4 Ru 0.2515 0.2515 0.2460  3 Tc 2.65-2.66, 3 Zn 2.71-2.72, 6 Ru 2.75